First-principles (PBE-GGA) data for an optimized crystal structure of NdDy5Bi6, as listed in Alexandria via LeMat-Bulk.

Results
formation energy from the elements = -871 meV/atom
calculated volume = 32.21 A^3/atom

a = 7.794 Å, b = 13.500 Å, c = 7.793 Å
α = 90.00°, β = 109.51°, γ = 90.00°
Space group C2/m (No. 12)
Asymmetric unit:
1 Nd 0.000 0.000 0.000 [2 per cell]
2 Dy 0.000 0.164 0.500 [4 per cell]
3 Dy 0.000 0.332 0.000 [4 per cell]
4 Dy 0.000 0.500 0.500 [2 per cell]
5 Bi 0.245 0.500 0.251 [4 per cell]
6 Bi 0.246 0.331 0.746 [8 per cell]